{
  "formula": "La2ZrAlAg",
  "functional": "PBE",
  "state": "relaxed",
  "final_energy_ev_per_atom": -4.479,
  "crystal_system": "tetragonal",
  "formation_energy_kj_per_mol_atoms": 50.2,
  "dos_ef_per_ev_atom": 1.439,
  "total_magnetization_mub_per_cell": 2.61,
  "lattice_angstrom": [[5.805, 0.000, 0.000], [0.000, 4.712, 0.000], [0.000, 0.000, 5.805]],
  "species": ["La", "La", "Ag", "Zr", "Al"],
  "frac_coords": [[0.000, 0.000, 0.500], [0.500, 0.000, 0.000], [0.000, 0.500, 0.000], [0.500, 0.500, 0.500], [0.000, 0.000, 0.000]]
}